Ce2ErNi2Ge2 | PBE-GGA | optimized geometry

Output
* symmetry: No. 166
* ΔE_f: -640 meV per atom

Cell: 4.191 4.191 9.163 Å, 76.78 76.78 60.00°
Atoms (fractional coordinates):
Ni: 0.595 0.595 0.214
Ni: 0.405 0.405 0.786
Ce: 0.137 0.137 0.590
Ce: 0.863 0.863 0.410
Er: 0.000 0.000 0.000
Ge: 0.735 0.735 0.794
Ge: 0.265 0.265 0.206



CeErGe2O8 | PBE-GGA | optimized geometry

Output
* E_form (uncorrected): -2.386 eV/atom
* symmetry: No. 82

Cell: 5.101 5.101 6.659 Å, 112.52 112.52 90.00°
Atoms (fractional coordinates):
O: 0.163 0.578 0.838
O: 0.675 0.259 0.838
O: 0.011 0.411 0.335
O: 0.741 0.837 0.162
O: 0.076 0.989 0.665
O: 0.324 0.924 0.335
O: 0.422 0.325 0.162
O: 0.589 0.676 0.665
Er: 0.000 0.000 0.000
Ge: 0.250 0.750 0.500
Ge: 0.500 0.500 0.000
Ce: 0.750 0.250 0.500



CeErGePd | PBE-GGA | optimized geometry

Output
* symmetry: No. 216
* ΔE_f: -689 meV per atom

Cell: 5.058 5.058 5.058 Å, 60.00 60.00 60.00°
Atoms (fractional coordinates):
Pd: 0.750 0.750 0.750
Ge: 0.250 0.250 0.250
Er: 0.500 0.500 0.500
Ce: 0.000 0.000 0.000



CeErGePt | PBE-GGA | optimized geometry

Output
* symmetry: No. 216
* ΔE_f: -834 meV per atom

Cell: 5.049 5.049 5.049 Å, 60.00 60.00 60.00°
Atoms (fractional coordinates):
Ge: 0.250 0.250 0.250
Pt: 0.750 0.750 0.750
Ce: 0.500 0.500 0.500
Er: 0.000 0.000 0.000



CeErGePt | PBE-GGA | optimized geometry

Output
* symmetry: No. 129
* ΔE_f: -688 meV per atom

Cell: 4.531 4.531 10.417 Å, 90.00 90.00 90.00°
Atoms (fractional coordinates):
Pt: 0.000 0.500 0.343
Pt: 0.500 0.000 0.657
Er: 0.000 0.000 0.500
Er: 0.500 0.500 0.500
Ge: 0.000 0.500 0.111
Ge: 0.500 0.000 0.889
Ce: 0.500 0.000 0.162
Ce: 0.000 0.500 0.838



CeErGeRu | PBE-GGA | optimized geometry

Output
* symmetry: No. 216
* ΔE_f: -426 meV per atom

Cell: 4.954 4.954 4.954 Å, 60.00 60.00 60.00°
Atoms (fractional coordinates):
Ge: 0.250 0.250 0.250
Er: 0.000 0.000 0.000
Ce: 0.500 0.500 0.500
Ru: 0.750 0.750 0.750



CeErGeS | PBE-GGA | optimized geometry

Output
* E_form (uncorrected): -1.396 eV/atom
* symmetry: No. 160

Cell: 4.086 4.086 7.022 Å, 73.09 73.09 60.00°
Atoms (fractional coordinates):
Er: 0.692 0.692 0.923
S: 0.947 0.947 0.158
Ce: 0.194 0.194 0.417
Ge: 0.442 0.442 0.673



CeErGeSe | PBE-GGA | optimized geometry

Output
* E_form (uncorrected): -1.323 eV/atom
* symmetry: No. 160

Cell: 4.167 4.167 7.205 Å, 73.19 73.19 60.00°
Atoms (fractional coordinates):
Ce: 0.948 0.948 0.157
Er: 0.441 0.441 0.676
Se: 0.191 0.191 0.427
Ge: 0.696 0.696 0.912



Number 1: calculated total energy -5.958 eV per atom, volume 19.21 Å³/atom. Number 2: calculated total energy -7.335 eV per atom, volume 12.14 Å³/atom. Number 3: calculated total energy -5.765 eV per atom, volume 22.87 Å³/atom. Number 4: calculated total energy -6.123 eV per atom, volume 22.76 Å³/atom. Number 5: calculated total energy -5.977 eV per atom, volume 26.73 Å³/atom. Number 6: calculated total energy -6.523 eV per atom, volume 21.49 Å³/atom. Number 7: calculated total energy -6.206 eV per atom, volume 23.91 Å³/atom. Number 8: calculated total energy -5.973 eV per atom, volume 25.53 Å³/atom.